No. 1
# Hf3AsH (PBE, optimized geometry)
# - M_tot: 0.00 μB per formula unit
# - D(E_F): 2.242 states/eV/f.u.
# - Polymorph energy (0 for the lowest one): 0.0 meV per atom
data_Hf3AsH
_chemical_formula_sum 'Hf12 As4 H4'
_cell_length_a 12.878
_cell_length_b 3.477
_cell_length_c 7.645
_cell_angle_alpha 90.00
_cell_angle_beta 96.56
_cell_angle_gamma 90.00
_space_group_name_H-M_alt 'C 1 2/m 1'
_space_group_IT_number 12
_space_group_name_Hall '-C 2y'
loop_
_atom_site_label
_atom_site_fract_x
_atom_site_fract_y
_atom_site_fract_z
Hf1 0.031 0.000 0.318
Hf2 0.148 0.000 0.969
Hf3 0.168 0.500 0.613
As1 0.182 0.500 0.246
H1 0.069 0.500 0.803

No. 2
# Hf4As2H (PBE, optimized geometry)
# - M_tot: 0.00 μB per formula unit
# - D(E_F): 2.937 states/eV/f.u.
# - Polymorph energy (0 for the lowest one): 0.0 meV per atom
data_Hf4As2H
_chemical_formula_sum 'Hf8 As4 H2'
_cell_length_a 4.015
_cell_length_b 4.015
_cell_length_c 14.618
_cell_angle_alpha 90.00
_cell_angle_beta 90.00
_cell_angle_gamma 90.00
_space_group_name_H-M_alt 'I 4/m m m'
_space_group_IT_number 139
_space_group_name_Hall '-I 4 2'
loop_
_atom_site_label
_atom_site_fract_x
_atom_site_fract_y
_atom_site_fract_z
Hf1 0.000 0.000 0.175
Hf2 0.000 0.500 0.000
As1 0.000 0.000 0.361
H1 0.000 0.000 0.000

No. 3
# HfAsH2 (PBE, optimized geometry)
# - M_tot: 0.00 μB per formula unit
# - D(E_F): 3.199 states/eV/f.u.
# - Polymorph energy (0 for the lowest one): 633.9 meV per atom
data_HfAsH2
_chemical_formula_sum 'Hf4 As4 H8'
_cell_length_a 5.594
_cell_length_b 5.594
_cell_length_c 5.594
_cell_angle_alpha 90.00
_cell_angle_beta 90.00
_cell_angle_gamma 90.00
_space_group_name_H-M_alt 'F m -3 m'
_space_group_IT_number 225
_space_group_name_Hall '-F 4 2 3'
loop_
_atom_site_label
_atom_site_fract_x
_atom_site_fract_y
_atom_site_fract_z
Hf1 0.000 0.000 0.000
As1 0.000 0.000 0.500
H1 0.250 0.250 0.250

Copy entry 1 word for word.
# Hf3AsH (PBE, optimized geometry)
# - M_tot: 0.00 μB per formula unit
# - D(E_F): 2.242 states/eV/f.u.
# - Polymorph energy (0 for the lowest one): 0.0 meV per atom
data_Hf3AsH
_chemical_formula_sum 'Hf12 As4 H4'
_cell_length_a 12.878
_cell_length_b 3.477
_cell_length_c 7.645
_cell_angle_alpha 90.00
_cell_angle_beta 96.56
_cell_angle_gamma 90.00
_space_group_name_H-M_alt 'C 1 2/m 1'
_space_group_IT_number 12
_space_group_name_Hall '-C 2y'
loop_
_atom_site_label
_atom_site_fract_x
_atom_site_fract_y
_atom_site_fract_z
Hf1 0.031 0.000 0.318
Hf2 0.148 0.000 0.969
Hf3 0.168 0.500 0.613
As1 0.182 0.500 0.246
H1 0.069 0.500 0.803

Which formula does entry 1 have? Hf3AsH

What did the second record say?
# Hf4As2H (PBE, optimized geometry)
# - M_tot: 0.00 μB per formula unit
# - D(E_F): 2.937 states/eV/f.u.
# - Polymorph energy (0 for the lowest one): 0.0 meV per atom
data_Hf4As2H
_chemical_formula_sum 'Hf8 As4 H2'
_cell_length_a 4.015
_cell_length_b 4.015
_cell_length_c 14.618
_cell_angle_alpha 90.00
_cell_angle_beta 90.00
_cell_angle_gamma 90.00
_space_group_name_H-M_alt 'I 4/m m m'
_space_group_IT_number 139
_space_group_name_Hall '-I 4 2'
loop_
_atom_site_label
_atom_site_fract_x
_atom_site_fract_y
_atom_site_fract_z
Hf1 0.000 0.000 0.175
Hf2 0.000 0.500 0.000
As1 0.000 0.000 0.361
H1 0.000 0.000 0.000